1.
Crystalline CdRh2C at its relaxed geometry. Source: Alexandria via LeMat-Bulk, functional PBE.

- Spin magnetization: 0.00 μB per cell
- Energy above the lowest structure with this stoichiometry: 0.0 meV per atom

a = 6.9428 Å, b = 6.9428 Å, c = 6.9428 Å
α = 26.01°, β = 26.01°, γ = 26.01°
With the nearest neighbours (Å) after each atom.
Atoms (fractional coordinates):
Cd 0.0000 0.0000 0.0000  6 Rh 2.91, 6 Cd 3.12
Rh 0.2196 0.2196 0.2196  3 C 2.09
Rh 0.7804 0.7804 0.7804  3 C 2.09
C 0.5000 0.5000 0.5000  6 Rh 2.09

2.
Crystalline Ac2La2AlGe4 at its relaxed geometry. Source: Alexandria via LeMat-Bulk, functional PBE.

- Spin magnetization: 0.00 μB per cell
- Calculated total energy: -4.858 eV/atom

a = 6.9222 Å, b = 6.9222 Å, c = 6.9222 Å
α = 115.58°, β = 115.58°, γ = 97.84°
With the nearest neighbours (Å) after each atom.
Atoms (fractional coordinates):
Ac 0.2500 0.7500 0.5000  8 Ge 3.46, 4 La 3.74
Ac 0.7500 0.2500 0.5000  8 Ge 3.46, 4 La 3.74
La 0.1822 0.1822 0.0000  1 Al 2.89, 4 Ge 3.15
La 0.8178 0.8178 0.0000  1 Al 2.89, 4 Ge 3.15
Al 0.5000 0.5000 0.0000  4 Ge 2.54
Ge 0.2569 0.2569 0.5138  1 Al 2.54
Ge 0.2569 0.7431 0.0000  1 Al 2.54
Ge 0.7431 0.2569 0.0000  1 Al 2.54
Ge 0.7431 0.7431 0.4862  1 Al 2.54

3.
Crystalline HfVTe2 at its relaxed geometry. Source: Alexandria via LeMat-Bulk, functional PBE.

- Spin magnetization: 7.12 μB per cell
- Formation energy without anion corrections: 0.471 eV/f.u.
- Energy above the lowest structure with this stoichiometry: 556.2 meV per atom

a = 7.6985 Å, b = 7.6985 Å, c = 7.6985 Å
α = 130.86°, β = 130.86°, γ = 72.03°
With the nearest neighbours (Å) after each atom.
Atoms (fractional coordinates):
Hf 0.0000 0.0000 0.0000  4 Te 2.80
Hf 0.7500 0.2500 0.5000  4 Te 2.80
V 0.2500 0.7500 0.5000  4 Te 2.70
V 0.5000 0.5000 0.0000  4 Te 2.70
Te 0.1385 0.6250 0.0135  2 V 2.70, 2 Hf 2.80
Te 0.3750 0.3885 0.5135  2 V 2.70, 2 Hf 2.80
Te 0.6115 0.1250 0.9865  2 V 2.70, 2 Hf 2.80
Te 0.8750 0.8615 0.4865  2 V 2.70, 2 Hf 2.80

4.
Crystalline ZrAlRh2Au at its relaxed geometry. Source: Alexandria via LeMat-Bulk, functional PBE.

- Spin magnetization: 0.00 μB per cell
- Energy above the lowest structure with this stoichiometry: 28.3 meV per atom

a = 4.7638 Å, b = 4.7638 Å, c = 5.2665 Å
α = 90.00°, β = 90.00°, γ = 90.00°
With the nearest neighbours (Å) after each atom.
Atoms (fractional coordinates):
Zr 0.0000 0.0000 0.0000  4 Rh 2.38, 2 Au 2.63
Al 0.5000 0.5000 0.5000  4 Au 3.37, 8 Rh 3.55
Rh 0.0000 0.5000 0.0000  2 Zr 2.38
Rh 0.5000 0.0000 0.0000  2 Zr 2.38
Au 0.0000 0.0000 0.5000  2 Zr 2.63

5.
Crystalline NaC at its relaxed geometry. Source: Alexandria via LeMat-Bulk, functional PBE.

- Spin magnetization: 0.00 μB per cell
- Energy above the lowest structure with this stoichiometry: 285.5 meV per atom

a = 10.5779 Å, b = 10.5779 Å, c = 2.6296 Å
α = 90.00°, β = 90.00°, γ = 90.00°
With the nearest neighbours (Å) after each atom.
Atoms (fractional coordinates):
Na 0.0314 0.2385 0.0000  2 Na 2.63, 3 C 2.67-2.69
Na 0.2385 0.9686 0.0000  2 Na 2.63, 3 C 2.67-2.69
Na 0.2940 0.6265 0.5000  6 C 2.60-2.88, 2 Na 2.63
Na 0.3735 0.2940 0.5000  6 C 2.60-2.88, 2 Na 2.63
Na 0.6265 0.7060 0.5000  6 C 2.60-2.88, 2 Na 2.63
Na 0.7060 0.3735 0.5000  6 C 2.60-2.88, 2 Na 2.63
Na 0.7615 0.0314 0.0000  2 Na 2.63, 3 C 2.67-2.69
Na 0.9686 0.7615 0.0000  2 Na 2.63, 3 C 2.67-2.69
C 0.1604 0.4159 0.5000  2 C 1.37
C 0.1822 0.4430 0.0000  2 C 1.37
C 0.4159 0.8396 0.5000  2 C 1.37
C 0.4430 0.8178 0.0000  2 C 1.37
C 0.5570 0.1822 0.0000  2 C 1.37
C 0.5841 0.1604 0.5000  2 C 1.37
C 0.8178 0.5570 0.0000  2 C 1.37
C 0.8396 0.5841 0.5000  2 C 1.37

6.
Crystalline Pr2CoH at its relaxed geometry. Source: Alexandria via LeMat-Bulk, functional PBE.

- Spin magnetization: 0.00 μB per cell
- Energy above the lowest structure with this stoichiometry: 0.0 meV per atom

a = 6.6894 Å, b = 6.6894 Å, c = 6.6894 Å
α = 34.25°, β = 34.25°, γ = 34.25°
With the nearest neighbours (Å) after each atom.
Atoms (fractional coordinates):
Pr 0.2488 0.2488 0.2488  3 H 2.75, 3 Co 2.78
Pr 0.7512 0.7512 0.7512  3 H 2.75, 3 Co 2.78
Co 0.0000 0.0000 0.0000  6 Pr 2.78
H 0.5000 0.5000 0.5000  6 Pr 2.75

7.
Crystalline CdAg2AuN at its relaxed geometry. Source: Alexandria via LeMat-Bulk, functional PBE.

- Spin magnetization: 0.00 μB per cell
- Formation energy without anion corrections: 4.278 eV/f.u.

a = 5.4185 Å, b = 5.4185 Å, c = 3.7906 Å
α = 90.00°, β = 90.00°, γ = 90.00°
With the nearest neighbours (Å) after each atom.
Atoms (fractional coordinates):
Cd 0.0000 0.0000 0.0000  8 Ag 3.31
Ag 0.0000 0.5000 0.5000  2 Au 2.71
Ag 0.5000 0.0000 0.5000  2 Au 2.71
Au 0.5000 0.5000 0.5000  2 N 1.90
N 0.5000 0.5000 0.0000  2 Au 1.90

8.
Crystalline PuGe2Te at its relaxed geometry. Source: Alexandria via LeMat-Bulk, functional PBE.

- Spin magnetization: 4.97 μB per cell
- Formation energy without anion corrections: -1.272 eV/f.u.

a = 4.4482 Å, b = 4.4482 Å, c = 4.4665 Å
α = 90.00°, β = 90.00°, γ = 90.00°
With the nearest neighbours (Å) after each atom.
Atoms (fractional coordinates):
Pu 0.0000 0.0000 0.0000  4 Te 3.15, 8 Ge 3.15
Ge 0.0000 0.5000 0.5000  4 Ge 3.15, 4 Te 3.15, 4 Pu 3.15
Ge 0.5000 0.0000 0.5000  4 Ge 3.15, 4 Te 3.15, 4 Pu 3.15
Te 0.5000 0.5000 0.0000  4 Pu 3.15, 8 Ge 3.15